# SnW3N2 PBE-GGA optimized geometry
# energy: -9.540 eV/atom
data_SnW3N2
_chemical_formula_sum 'Sn2 W6 N4'
_cell_length_a 3.2669
_cell_length_b 3.2669
_cell_length_c 17.4548
_cell_angle_alpha 90.00
_cell_angle_beta 90.00
_cell_angle_gamma 120.00
_symmetry_space_group_name_H-M 'P 63/m m c'
_symmetry_Int_Tables_number 194
_symmetry_space_group_name_Hall '-P 6c 2c'
loop_
_atom_site_label
_atom_site_fract_x
_atom_site_fract_y
_atom_site_fract_z
Sn1 0.0000 0.0000 0.2500
W1 0.0000 0.0000 0.0000
W2 0.3333 0.6667 0.1217
N1 0.3333 0.6667 0.5642